1.
Compound: DyYSiPd
Source: the Alexandria database
Functional: GGA-PBE
Structure: relaxed

Output
**Total magnetic moment**: 0.000 μB/f.u.
**Formation energy without anion corrections**: -846 meV per atom
**DFT total energy**: -6.27 eV per atom

The structure in POSCAR format:
```
DyYSiPd
1.0
3.965 0.000 0.000
0.000 4.238 0.000
-1.982 0.000 5.376
Pd Y Dy Si
1 1 1 1
direct
0.426 0.000 0.852 Pd
0.858 0.500 0.716 Y
0.139 0.000 0.278 Dy
0.577 0.500 0.155 Si
```



2.
Compound: Dy2ZnSi4Pd3
Source: the Alexandria database
Functional: GGA-PBE
Structure: relaxed

Output
**Total magnetic moment**: 0.000 μB/f.u.
**Formation energy without anion corrections**: -784 meV per atom
**DFT total energy**: -5.56 eV per atom

The structure in POSCAR format:
```
Dy2ZnSi4Pd3
1.0
-3.286 -0.986 2.177
1.428 -3.778 0.445
4.940 2.901 8.770
Zn Si Pd Dy
1 4 3 2
direct
0.500 0.500 0.500 Zn
0.500 0.000 0.641 Si
0.000 0.000 0.000 Si
0.500 0.500 0.000 Si
0.000 0.500 0.359 Si
0.000 0.000 0.500 Pd
0.500 0.000 0.870 Pd
0.000 0.500 0.130 Pd
0.000 0.500 0.747 Dy
0.500 0.000 0.253 Dy
```



3.
Compound: DyZn2SiPd4
Source: the Alexandria database
Functional: GGA-PBE
Structure: relaxed

Output
**Total magnetic moment**: 0.000 μB/f.u.
**Formation energy without anion corrections**: -631 meV per atom
**DFT total energy**: -4.80 eV per atom

The structure in POSCAR format:
```
DyZn2SiPd4
1.0
4.511 0.000 0.000
2.256 3.907 0.000
2.256 1.302 7.315
Dy Si Zn Pd
1 1 2 4
direct
0.000 0.000 0.000 Dy
0.500 0.500 0.500 Si
0.256 0.256 0.232 Zn
0.744 0.744 0.768 Zn
0.865 0.865 0.404 Pd
0.392 0.392 0.823 Pd
0.608 0.608 0.177 Pd
0.135 0.135 0.596 Pd
```



4.
Compound: Sm2DyPd
Source: the Alexandria database
Functional: GGA-PBE
Structure: relaxed

Output
**Total magnetic moment**: 0.000 μB/f.u.
**DFT total energy**: -5.23 eV per atom

The structure in POSCAR format:
```
Sm2DyPd
1.0
-1.486 2.179 2.795
0.076 -6.019 2.094
8.873 1.379 3.643
Sm Pd Dy
4 2 2
direct
0.635 0.270 0.440 Sm
0.635 0.270 0.060 Sm
0.365 0.730 0.560 Sm
0.365 0.730 0.940 Sm
0.236 0.473 0.250 Pd
0.764 0.527 0.750 Pd
0.929 0.858 0.250 Dy
0.071 0.142 0.750 Dy
```



5.
Compound: SmDy3Pd
Source: the Alexandria database
Functional: GGA-PBE
Structure: relaxed

Output
**Total magnetic moment**: 0.000 μB/f.u.
**DFT total energy**: -4.99 eV per atom

The structure in POSCAR format:
```
SmDy3Pd
1.0
7.346 -0.165 -0.041
-2.168 7.020 0.041
-2.913 -3.183 5.971
Dy Pd Sm
6 2 2
direct
0.840 0.048 0.281 Dy
0.717 0.448 0.165 Dy
0.768 0.559 0.719 Dy
0.232 0.441 0.281 Dy
0.160 0.952 0.719 Dy
0.283 0.552 0.835 Dy
0.632 0.749 0.381 Pd
0.368 0.251 0.619 Pd
0.716 0.058 0.775 Sm
0.284 0.942 0.225 Sm
```



6.
Compound: SmDy2Pd
Source: the Alexandria database
Functional: GGA-PBE
Structure: relaxed

Output
**Total magnetic moment**: 0.000 μB/f.u.
**DFT total energy**: -5.22 eV per atom

The structure in POSCAR format:
```
SmDy2Pd
1.0
-0.517 -3.737 0.195
2.311 1.896 5.794
-8.739 1.368 3.038
Dy Sm Pd
4 2 2
direct
0.363 0.728 0.560 Dy
0.363 0.728 0.940 Dy
0.637 0.272 0.440 Dy
0.637 0.272 0.060 Dy
0.062 0.124 0.750 Sm
0.938 0.876 0.250 Sm
0.763 0.527 0.750 Pd
0.237 0.473 0.250 Pd
```



7.
Compound: Sm2DyPd2
Source: the Alexandria database
Functional: GGA-PBE
Structure: relaxed

Output
**Total magnetic moment**: 0.000 μB/f.u.
**DFT total energy**: -5.57 eV per atom

The structure in POSCAR format:
```
Sm2DyPd2
1.0
4.007 0.000 0.000
0.000 7.902 0.000
0.000 0.000 7.902
Sm Pd Dy
4 4 2
direct
0.500 0.668 0.832 Sm
0.500 0.332 0.168 Sm
0.500 0.168 0.668 Sm
0.500 0.832 0.332 Sm
0.000 0.370 0.870 Pd
0.000 0.130 0.370 Pd
0.000 0.630 0.130 Pd
0.000 0.870 0.630 Pd
0.000 0.500 0.500 Dy
0.000 0.000 0.000 Dy
```



8.
Compound: SmDy2Pd9
Source: the Alexandria database
Functional: GGA-PBE
Structure: relaxed

Output
**Total magnetic moment**: 0.000 μB/f.u.
**DFT total energy**: -5.91 eV per atom

The structure in POSCAR format:
```
SmDy2Pd9
1.0
4.143 0.000 0.000
0.000 4.143 0.000
0.000 0.000 12.407
Pd Dy Sm
9 2 1
direct
0.500 0.000 0.830 Pd
0.000 0.500 0.170 Pd
0.000 0.500 0.830 Pd
0.500 0.500 0.334 Pd
0.000 0.500 0.500 Pd
0.500 0.000 0.500 Pd
0.500 0.000 0.170 Pd
0.500 0.500 0.666 Pd
0.500 0.500 0.000 Pd
0.000 0.000 0.665 Dy
0.000 0.000 0.335 Dy
0.000 0.000 0.000 Sm
```



9.
Compound: SmDy3Pd2
Source: the Alexandria database
Functional: GGA-PBE
Structure: relaxed

Output
**Total magnetic moment**: 0.000 μB/f.u.
**DFT total energy**: -5.43 eV per atom

The structure in POSCAR format:
```
SmDy3Pd2
1.0
-4.884 -0.189 0.476
0.124 -6.984 -1.498
0.904 -1.818 8.553
Dy Pd Sm
6 4 2
direct
0.000 0.985 0.077 Dy
0.000 0.485 0.923 Dy
0.000 0.356 0.331 Dy
0.500 0.644 0.167 Dy
0.000 0.856 0.669 Dy
0.500 0.144 0.833 Dy
0.500 0.244 0.154 Pd
0.500 0.744 0.846 Pd
0.000 0.256 0.661 Pd
0.000 0.756 0.339 Pd
0.500 0.015 0.420 Sm
0.500 0.515 0.580 Sm
```



10.
Compound: SmDy2Pd
Source: the Alexandria database
Functional: GGA-PBE
Structure: relaxed

Output
**Total magnetic moment**: 0.000 μB/f.u.
**DFT total energy**: -5.08 eV per atom

The structure in POSCAR format:
```
SmDy2Pd
1.0
3.689 0.000 0.000
1.845 3.195 0.000
1.845 1.065 9.791
Dy Sm Pd
2 1 1
direct
0.268 0.268 0.195 Dy
0.732 0.732 0.805 Dy
0.500 0.500 0.500 Sm
0.000 0.000 0.000 Pd
```



11.
Compound: Sm2DyPd
Source: the Alexandria database
Functional: GGA-PBE
Structure: relaxed

Output
**Total magnetic moment**: 0.000 μB/f.u.
**DFT total energy**: -5.16 eV per atom

The structure in POSCAR format:
```
Sm2DyPd
1.0
3.654 0.000 0.000
0.000 3.654 0.000
0.000 0.000 8.442
Sm Dy Pd
2 1 1
direct
0.000 0.000 0.798 Sm
0.000 0.000 0.202 Sm
0.500 0.500 0.500 Dy
0.500 0.500 0.000 Pd
```



12.
Compound: Sm2DyPd
Source: the Alexandria database
Functional: GGA-PBE
Structure: relaxed

Output
**Total magnetic moment**: 0.000 μB/f.u.
**DFT total energy**: -5.07 eV per atom

The structure in POSCAR format:
```
Sm2DyPd
1.0
3.728 0.000 0.000
1.864 3.228 0.000
1.864 1.076 9.846
Dy Sm Pd
1 2 1
direct
0.500 0.500 0.500 Dy
0.733 0.733 0.800 Sm
0.267 0.267 0.200 Sm
0.000 0.000 0.000 Pd
```



13.
Compound: SmDy2Pd
Source: the Alexandria database
Functional: GGA-PBE
Structure: relaxed

Output
**Total magnetic moment**: 0.000 μB/f.u.
**DFT total energy**: -5.24 eV per atom

The structure in POSCAR format:
```
SmDy2Pd
1.0
-5.047 2.836 2.986
-4.264 -2.023 -5.285
-1.886 -8.309 4.702
Dy Pd Sm
8 4 4
direct
0.172 0.680 0.440 Dy
0.172 0.680 0.060 Dy
0.828 0.320 0.940 Dy
0.328 0.180 0.440 Dy
0.328 0.180 0.060 Dy
0.672 0.820 0.940 Dy
0.672 0.820 0.560 Dy
0.828 0.320 0.560 Dy
0.430 0.887 0.250 Pd
0.930 0.613 0.750 Pd
0.070 0.387 0.250 Pd
0.570 0.113 0.750 Pd
0.134 0.980 0.750 Sm
0.634 0.520 0.250 Sm
0.366 0.480 0.750 Sm
0.866 0.020 0.250 Sm
```



14.
Compound: SmDy2Pd
Source: the Alexandria database
Functional: GGA-PBE
Structure: relaxed

Output
**Total magnetic moment**: 0.000 μB/f.u.
**DFT total energy**: -5.09 eV per atom

The structure in POSCAR format:
```
SmDy2Pd
1.0
3.841 0.000 0.000
1.920 3.326 0.000
1.920 1.109 9.251
Dy Pd Sm
2 1 1
direct
0.270 0.270 0.190 Dy
0.063 0.063 0.812 Dy
0.666 0.666 0.002 Pd
0.501 0.501 0.496 Sm
```



15.
Compound: SmDy4Pd2
Source: the Alexandria database
Functional: GGA-PBE
Structure: relaxed

Output
**Total magnetic moment**: 0.000 μB/f.u.
**DFT total energy**: -5.21 eV per atom

The structure in POSCAR format:
```
SmDy4Pd2
1.0
6.436 0.000 0.000
0.000 7.203 -3.038
0.000 0.031 8.141
Sm Dy Pd
2 8 4
direct
0.750 0.151 0.023 Sm
0.250 0.849 0.977 Sm
0.750 0.754 0.650 Dy
0.995 0.406 0.768 Dy
0.505 0.406 0.768 Dy
0.005 0.594 0.232 Dy
0.750 0.022 0.391 Dy
0.250 0.978 0.609 Dy
0.250 0.246 0.350 Dy
0.495 0.594 0.232 Dy
0.750 0.751 0.006 Pd
0.750 0.383 0.419 Pd
0.250 0.617 0.581 Pd
0.250 0.249 0.994 Pd
```



16.
Compound: SmDy2Pd2
Source: the Alexandria database
Functional: GGA-PBE
Structure: relaxed

Output
**Total magnetic moment**: 0.000 μB/f.u.
**DFT total energy**: -5.56 eV per atom

The structure in POSCAR format:
```
SmDy2Pd2
1.0
-0.170 2.774 -2.740
-4.729 -4.592 -4.357
-6.321 3.131 3.561
Pd Dy Sm
4 4 2
direct
0.500 0.370 0.370 Pd
0.500 0.130 0.870 Pd
0.500 0.630 0.630 Pd
0.500 0.870 0.130 Pd
0.000 0.335 0.665 Dy
0.000 0.165 0.165 Dy
0.000 0.835 0.835 Dy
0.000 0.665 0.335 Dy
0.500 0.500 0.000 Sm
0.500 0.000 0.500 Sm
```



17.
Compound: Sm3Dy2Pd2
Source: the Alexandria database
Functional: GGA-PBE
Structure: relaxed

Output
**Total magnetic moment**: 0.000 μB/f.u.
**DFT total energy**: -5.30 eV per atom

The structure in POSCAR format:
```
Sm3Dy2Pd2
1.0
-0.394 1.693 -3.368
-3.269 -5.592 -0.296
-4.613 6.796 3.954
Sm Pd Dy
3 2 2
direct
0.386 0.772 0.560 Sm
0.614 0.228 0.440 Sm
0.500 0.000 0.000 Sm
0.828 0.656 0.772 Pd
0.172 0.344 0.228 Pd
0.841 0.682 0.188 Dy
0.159 0.318 0.812 Dy
```



18.
Compound: Sm3Dy3Pd4
Source: the Alexandria database
Functional: GGA-PBE
Structure: relaxed

Output
**Total magnetic moment**: 0.000 μB/f.u.
**DFT total energy**: -5.57 eV per atom

The structure in POSCAR format:
```
Sm3Dy3Pd4
1.0
3.982 0.000 0.000
0.000 7.885 0.021
0.000 0.090 7.885
Sm Dy Pd
3 3 4
direct
0.500 0.332 0.334 Sm
0.500 0.666 0.668 Sm
0.500 0.834 0.166 Sm
0.000 0.000 0.501 Dy
0.000 0.499 0.000 Dy
0.500 0.168 0.832 Dy
0.000 0.629 0.371 Pd
0.000 0.365 0.635 Pd
0.000 0.133 0.125 Pd
0.000 0.875 0.867 Pd
```



19.
Compound: Sm2Dy3Pd2
Source: the Alexandria database
Functional: GGA-PBE
Structure: relaxed

Output
**Total magnetic moment**: 0.000 μB/f.u.
**DFT total energy**: -5.32 eV per atom

The structure in POSCAR format:
```
Sm2Dy3Pd2
1.0
3.739 0.000 0.000
-1.869 6.244 -0.504
0.000 -3.512 8.425
Pd Sm Dy
2 2 3
direct
0.166 0.333 0.238 Pd
0.834 0.667 0.762 Pd
0.155 0.310 0.813 Sm
0.845 0.690 0.187 Sm
0.615 0.229 0.441 Dy
0.500 0.000 0.000 Dy
0.385 0.771 0.559 Dy
```



20.
Compound: SmDy5Pd2
Source: the Alexandria database
Functional: GGA-PBE
Structure: relaxed

Output
**Total magnetic moment**: 0.000 μB/f.u.
**DFT total energy**: -5.13 eV per atom

The structure in POSCAR format:
```
SmDy5Pd2
1.0
-1.290 -1.687 -3.205
6.640 -0.491 -0.108
-1.031 -15.857 8.762
Pd Dy Sm
4 10 2
direct
0.749 0.499 0.373 Pd
0.251 0.501 0.627 Pd
0.251 0.501 0.873 Pd
0.749 0.499 0.127 Pd
0.054 0.108 0.395 Dy
0.621 0.242 0.250 Dy
0.054 0.108 0.105 Dy
0.348 0.695 0.042 Dy
0.652 0.305 0.542 Dy
0.379 0.758 0.750 Dy
0.946 0.892 0.605 Dy
0.652 0.305 0.958 Dy
0.348 0.695 0.458 Dy
0.946 0.892 0.895 Dy
0.645 0.289 0.750 Sm
0.355 0.711 0.250 Sm
```



21.
Compound: Sm4DyPd2
Source: the Alexandria database
Functional: GGA-PBE
Structure: relaxed

Output
**Total magnetic moment**: 0.000 μB/f.u.
**DFT total energy**: -5.10 eV per atom

The structure in POSCAR format:
```
Sm4DyPd2
1.0
5.299 0.000 0.000
2.649 4.589 0.000
2.649 1.530 8.551
Sm Pd Dy
4 2 1
direct
0.118 0.118 0.645 Sm
0.713 0.713 0.861 Sm
0.287 0.287 0.139 Sm
0.882 0.882 0.355 Sm
0.604 0.604 0.187 Pd
0.396 0.396 0.813 Pd
0.500 0.500 0.500 Dy
```



22.
Compound: Sm2DyPd
Source: the Alexandria database
Functional: GGA-PBE
Structure: relaxed

Output
**Total magnetic moment**: 0.000 μB/f.u.
**DFT total energy**: -5.06 eV per atom

The structure in POSCAR format:
```
Sm2DyPd
1.0
3.800 0.000 0.000
1.900 3.291 0.000
1.900 1.097 9.560
Dy Sm Pd
1 2 1
direct
0.500 0.500 0.500 Dy
0.066 0.066 0.801 Sm
0.267 0.267 0.199 Sm
0.667 0.667 0.000 Pd
```



23.
Compound: SmDy2Pd2
Source: the Alexandria database
Functional: GGA-PBE
Structure: relaxed

Output
**Total magnetic moment**: 0.000 μB/f.u.
**DFT total energy**: -5.40 eV per atom

The structure in POSCAR format:
```
SmDy2Pd2
1.0
4.650 0.498 -0.196
-0.501 4.649 -0.196
-1.497 -1.857 6.064
Dy Sm Pd
2 1 2
direct
0.253 0.747 0.500 Dy
0.747 0.253 0.500 Dy
0.000 0.000 0.000 Sm
0.638 0.638 0.219 Pd
0.362 0.362 0.781 Pd
```